A plane-wave DFT calculation with GGA-PBE was carried out for an optimized crystal structure of Zn2ReRu.

The value obtained for the formation energy is -0.03 eV/atom. Its energy above the lowest structure with this stoichiometry is 0 meV per atom. As for the magnetic moment: 0.00 μB/atom.

It has space group P4mm (No. 99), with a = 2.8709 Å, b = 2.8709 Å, c = 6.9485 Å, α = 90.00°, β = 90.00° and γ = 90.00°. The distinct sites, in fractional coordinates, are Zn at (0.0000, 0.0000, 0.0000), Zn at (0.5000, 0.5000, 0.2499), Re at (0.0000, 0.0000, 0.5142) and Ru at (0.5000, 0.5000, 0.7489).

***

A plane-wave DFT calculation with GGA-PBE was carried out for an optimized crystal structure of CaZrSe2.

For the formation energy without anion corrections, the calculation gives -1.42 eV per atom. Its energy above the lowest structure with this stoichiometry is 70 meV per atom. As for the magnetic moment: 0.00 μB/atom.

It has space group P4/mmm (No. 123), with a = 4.0194 Å, b = 4.0194 Å, c = 5.6443 Å, α = 90.00°, β = 90.00° and γ = 90.00°. The distinct sites, in fractional coordinates, are Ca at (0.0000, 0.0000, 0.0000), Zr at (0.5000, 0.5000, 0.5000), Se at (0.0000, 0.0000, 0.5000) and Se at (0.5000, 0.5000, 0.0000).

***

A plane-wave DFT calculation with GGA-PBE was carried out for an optimized crystal structure of AcPrZn2.

The value obtained for the formation energy is -0.06 eV/atom. As for the magnetic moment: 0.00 μB/atom.

It has space group R-3m (No. 166, hexagonal axes), with a = 3.9012 Å, b = 3.9012 Å, c = 27.7506 Å, α = 90.00°, β = 90.00° and γ = 120.00°. The distinct sites, in fractional coordinates, are Ac at (0.0000, 0.0000, 0.0000), Pr at (0.0000, 0.0000, 0.5000) and Zn at (0.0000, 0.0000, 0.2459).

***

A plane-wave DFT calculation with GGA-PBE was carried out for an optimized crystal structure of CsCr2Cl8.

For the formation energy without anion corrections, the calculation gives -1.12 eV per atom. As for the magnetic moment: 0.45 μB/atom.

It has space group P-1 (No. 2), with a = 6.8414 Å, b = 7.5262 Å, c = 8.8365 Å, α = 71.22°, β = 77.06° and γ = 76.16°. The distinct sites, in fractional coordinates, are Cs at (0.0000, 0.0000, 0.0000), Cr at (0.2197, 0.2993, 0.2995), Cl at (0.0812, 0.6562, 0.7603), Cl at (0.2278, 0.2064, 0.5564), Cl at (0.3288, 0.5657, 0.2201) and Cl at (0.3943, 0.1053, 0.1590).

***

A plane-wave DFT calculation with GGA-PBE was carried out for an optimized crystal structure of AsN.

For the formation energy without anion corrections, the calculation gives 0.46 eV per atom. Its energy above the lowest structure with this stoichiometry is 452 meV per atom. As for the magnetic moment: 0.00 μB/atom.

It has space group P4/m (No. 83), with a = 10.1403 Å, b = 10.1403 Å, c = 2.9388 Å, α = 90.00°, β = 90.00° and γ = 90.00°. The distinct sites, in fractional coordinates, are As at (0.0668, 0.2051, 0.0000), As at (0.1886, 0.6429, 0.5000), N at (0.0033, 0.3084, 0.5000) and N at (0.2541, 0.7445, 0.0000).

***

A plane-wave DFT calculation with GGA-PBE was carried out for an optimized crystal structure of KBaCuPt2.

The value obtained for the formation energy is 0.15 eV/atom. As for the magnetic moment: 0.00 μB/atom.

It has space group P4/mmm (No. 123), with a = 4.9995 Å, b = 4.9995 Å, c = 5.3299 Å, α = 90.00°, β = 90.00° and γ = 90.00°. The distinct sites, in fractional coordinates, are K at (0.0000, 0.0000, 0.0000), Ba at (0.5000, 0.5000, 0.0000), Cu at (0.5000, 0.5000, 0.5000) and Pt at (0.0000, 0.5000, 0.5000).